Record 1
Here is Nd2YGe7 after structural relaxation from the Open Quantum Materials Database. Energies are from PBE.

Output
calculated volume = 219.5 Å³/f.u.
energy = -107.56 eV for the cell shown

The structure in CIF format:
```
data_Nd2YGe7
_chemical_formula_sum 'Nd4 Y2 Ge14'
_space_group_name_H-M_alt 'C m m m'
_space_group_IT_number 65
_space_group_name_Hall '-C 2 2'
_cell_length_a 4.017
_cell_length_b 26.174
_cell_length_c 4.176
_cell_angle_alpha 90.00
_cell_angle_beta 90.00
_cell_angle_gamma 90.00
loop_
_atom_site_label
_atom_site_fract_x
_atom_site_fract_y
_atom_site_fract_z
Nd1 0.000 0.183 0.000
Y1 0.000 0.500 0.500
Ge1 0.000 0.000 0.000
Ge2 0.000 0.091 0.500
Ge3 0.000 0.281 0.500
Ge4 0.000 0.411 0.000
```

=====

Record 2
Here is MgInFeCu after structural relaxation from the Open Quantum Materials Database. Energies are from PBE.

Output
calculated volume = 60.6 Å³/f.u.
energy = -62.87 eV for the cell shown
E above lowest polymorph = 0.000 eV per atom

The structure in CIF format:
```
data_MgInFeCu
_chemical_formula_sum 'Mg4 In4 Fe4 Cu4'
_space_group_name_H-M_alt 'F -4 3 m'
_space_group_IT_number 216
_space_group_name_Hall 'F -4 2 3'
_cell_length_a 6.237
_cell_length_b 6.237
_cell_length_c 6.237
_cell_angle_alpha 90.00
_cell_angle_beta 90.00
_cell_angle_gamma 90.00
loop_
_atom_site_label
_atom_site_fract_x
_atom_site_fract_y
_atom_site_fract_z
Mg1 0.000 0.000 0.000
In1 0.000 0.000 0.500
Fe1 0.250 0.250 0.250
Cu1 0.250 0.250 0.750
```

=====

Record 3
Here is GdYMg after structural relaxation from the Open Quantum Materials Database. Energies are from PBE.

Output
calculated volume = 102.1 Å³/f.u.
energy = -45.79 eV for the cell shown
E above lowest polymorph = 0.481 eV per atom

The structure in CIF format:
```
data_GdYMg
_chemical_formula_sum 'Gd4 Y4 Mg4'
_space_group_name_H-M_alt 'F -4 3 m'
_space_group_IT_number 216
_space_group_name_Hall 'F -4 2 3'
_cell_length_a 7.418
_cell_length_b 7.418
_cell_length_c 7.418
_cell_angle_alpha 90.00
_cell_angle_beta 90.00
_cell_angle_gamma 90.00
loop_
_atom_site_label
_atom_site_fract_x
_atom_site_fract_y
_atom_site_fract_z
Gd1 0.000 0.000 0.000
Y1 0.000 0.000 0.500
Mg1 0.250 0.250 0.250
```

=====

Record 4
Here is KHgAs after structural relaxation from the Open Quantum Materials Database. Energies are from PBE.

Output
calculated volume = 82.2 Å³/f.u.
energy = -19.91 eV for the cell shown

The structure in CIF format:
```
data_KHgAs
_chemical_formula_sum 'K3 Hg3 As3'
_space_group_name_H-M_alt 'P -6 2 m'
_space_group_IT_number 189
_space_group_name_Hall 'P -6 -2'
_cell_length_a 7.5444
_cell_length_b 7.5444
_cell_length_c 5.0007
_cell_angle_alpha 90.00
_cell_angle_beta 90.00
_cell_angle_gamma 120.00
loop_
_atom_site_label
_atom_site_fract_x
_atom_site_fract_y
_atom_site_fract_z
K1 0.0000 0.5723 0.0000
Hg1 0.0000 0.2596 0.5000
As1 0.0000 0.0000 0.0000
As2 0.3333 0.6667 0.5000
```

=====

Record 5
Here is NdTmPb after structural relaxation from the Open Quantum Materials Database. Energies are from PBE.

Output
calculated volume = 100.7 Å³/f.u.
energy = -54.09 eV for the cell shown

The structure in CIF format:
```
data_NdTmPb
_chemical_formula_sum 'Nd4 Tm4 Pb4'
_space_group_name_H-M_alt 'F -4 3 m'
_space_group_IT_number 216
_space_group_name_Hall 'F -4 2 3'
_cell_length_a 7.385
_cell_length_b 7.385
_cell_length_c 7.385
_cell_angle_alpha 90.00
_cell_angle_beta 90.00
_cell_angle_gamma 90.00
loop_
_atom_site_label
_atom_site_fract_x
_atom_site_fract_y
_atom_site_fract_z
Nd1 0.000 0.000 0.000
Tm1 0.000 0.000 0.500
Pb1 0.250 0.250 0.250
```

=====

Record 6
Here is RbPmTm after structural relaxation from the Open Quantum Materials Database. Energies are from PBE.

Output
calculated volume = 150.4 Å³/f.u.
energy = -26.22 eV for the cell shown

The structure in CIF format:
```
data_RbPmTm
_chemical_formula_sum 'Rb4 Pm4 Tm4'
_space_group_name_H-M_alt 'F -4 3 m'
_space_group_IT_number 216
_space_group_name_Hall 'F -4 2 3'
_cell_length_a 8.443
_cell_length_b 8.443
_cell_length_c 8.443
_cell_angle_alpha 90.00
_cell_angle_beta 90.00
_cell_angle_gamma 90.00
loop_
_atom_site_label
_atom_site_fract_x
_atom_site_fract_y
_atom_site_fract_z
Rb1 0.000 0.000 0.000
Pm1 0.000 0.000 0.500
Tm1 0.250 0.250 0.750
```

=====

Record 7
Here is TmHf3Br after structural relaxation from the Open Quantum Materials Database. Energies are from PBE.

Output
calculated volume = 148.0 Å³/f.u.
energy = -28.16 eV for the cell shown

The structure in CIF format:
```
data_TmHf3Br
_chemical_formula_sum 'Tm1 Hf3 Br1'
_space_group_name_H-M_alt 'P m -3 m'
_space_group_IT_number 221
_space_group_name_Hall '-P 4 2 3'
_cell_length_a 5.289
_cell_length_b 5.289
_cell_length_c 5.289
_cell_angle_alpha 90.00
_cell_angle_beta 90.00
_cell_angle_gamma 90.00
loop_
_atom_site_label
_atom_site_fract_x
_atom_site_fract_y
_atom_site_fract_z
Tm1 0.000 0.000 0.000
Hf1 0.000 0.000 0.500
Br1 0.500 0.500 0.500
```

=====

Record 8
Here is ScTe6Os2 after structural relaxation from the Open Quantum Materials Database. Energies are from PBE.

Output
calculated volume = 277.3 Å³/f.u.
energy = -45.91 eV for the cell shown

The structure in CIF format:
```
data_ScTe6Os2
_chemical_formula_sum 'Sc1 Te6 Os2'
_space_group_name_H-M_alt 'P 4/m m m'
_space_group_IT_number 123
_space_group_name_Hall '-P 4 2'
_cell_length_a 5.007
_cell_length_b 5.007
_cell_length_c 11.058
_cell_angle_alpha 90.00
_cell_angle_beta 90.00
_cell_angle_gamma 90.00
loop_
_atom_site_label
_atom_site_fract_x
_atom_site_fract_y
_atom_site_fract_z
Sc1 0.000 0.000 0.000
Te1 0.000 0.500 0.188
Te2 0.500 0.500 0.000
Te3 0.500 0.500 0.500
Os1 0.500 0.500 0.279
```